Entry from Alexandria: a relaxed structure of V2CrGaO6 (PBE+U).

total energy = -7.48 eV per atom

Cell: 5.487 5.487 5.487 Å, 55.62 55.62 55.62°
Element x y z (fractional)
1 V 0.000 0.000 0.000
2 V 0.496 0.496 0.496
3 Cr 0.699 0.699 0.699
4 Ga 0.206 0.206 0.206
5 O 0.094 0.798 0.405
6 O 0.297 0.593 0.905
7 O 0.405 0.094 0.798
8 O 0.593 0.905 0.297
9 O 0.798 0.405 0.094
10 O 0.905 0.297 0.593